Here is a geometry-optimized Ba2YScS5 structure from Alexandria. Energies are from GGA-PBE.

Cell: 4.2245 8.7988 13.4011 Å, 90.00 90.00 103.89°
Fractional coordinates of all 18 atoms:
1 Y 0.2123 0.4245 0.0176
2 Y 0.7877 0.5755 0.5176
3 S 0.6771 0.3542 0.8869
4 S 0.3727 0.7455 0.9980
5 S 0.2832 0.5664 0.6518
6 S 0.7168 0.4336 0.1518
7 S 0.3229 0.6458 0.3869
8 S 0.0513 0.1025 0.0462
9 S 0.6273 0.2545 0.4980
10 S 0.9487 0.8975 0.5462
11 S 0.5095 0.0191 0.2787
12 S 0.4905 0.9809 0.7787
13 Ba 0.1433 0.2866 0.3059
14 Ba 0.8945 0.7891 0.1862
15 Ba 0.1055 0.2109 0.6862
16 Ba 0.8567 0.7134 0.8059
17 Sc 0.5277 0.0554 0.9529
18 Sc 0.4723 0.9446 0.4529

Calculated values
Crystal system: orthorhombic
Total DFT energy (no corrections) in eV for the cell shown: -111.4
Total magnetic moment in μB/cell: 0.0
E_form (uncorrected) in eV/atom: -2.05